[1]
First-principles (GGA-PBE) data for a relaxed structure of NdGe2Au3, as listed in Alexandria.

Lattice parameters (Å, degrees): 8.7800 8.7800 10.1747 103.89 103.89 29.64
Last column: nearest neighbours and their distance in Å.
Positions (direct):
Nd (0.0000, 0.0000, 0.0000)  6 Ge 3.18-3.29, 6 Au 3.33-3.38
Nd (0.1713, 0.1713, 0.7045)  6 Au 3.10-3.41, 4 Ge 3.23-3.46
Nd (0.8287, 0.8287, 0.2955)  6 Au 3.10-3.41, 4 Ge 3.23-3.46
Ge (0.1926, 0.1926, 0.1034)  6 Au 2.55-2.79
Ge (0.3450, 0.3450, 0.5290)  5 Au 2.63-2.77
Ge (0.4734, 0.4734, 0.2208)  5 Au 2.52-2.76
Ge (0.5266, 0.5266, 0.7792)  5 Au 2.52-2.76
Ge (0.6550, 0.6550, 0.4710)  5 Au 2.63-2.77
Ge (0.8074, 0.8074, 0.8966)  6 Au 2.55-2.79
Au (0.0160, 0.0160, 0.3376)  2 Ge 2.56, 2 Au 2.84
Au (0.1944, 0.1944, 0.3682)  4 Ge 2.63-2.69
Au (0.3343, 0.3343, 0.0599)  4 Ge 2.52-2.76
Au (0.3781, 0.3781, 0.8097)  4 Ge 2.61-2.79, 1 Au 2.82
Au (0.5000, 0.5000, 0.5000)  4 Ge 2.72-2.76, 4 Au 2.84
Au (0.6219, 0.6219, 0.1903)  4 Ge 2.61-2.79, 1 Au 2.82
Au (0.6657, 0.6657, 0.9401)  4 Ge 2.52-2.76
Au (0.8056, 0.8056, 0.6318)  4 Ge 2.63-2.69
Au (0.9840, 0.9840, 0.6624)  2 Ge 2.56, 2 Au 2.84

Output
calculated total energy = -79.6 eV/cell
E_form = -0.4516 eV/atom
space group = C2/m (12)
total moment = 0.00 Bohr magnetons per cell

=====

[2]
First-principles (GGA-PBE) data for a relaxed structure of NdGe2Au, as listed in Alexandria.

Lattice parameters (Å, degrees): 4.4946 4.4946 4.2300 90.00 90.00 90.00
Last column: nearest neighbours and their distance in Å.
Positions (direct):
Nd (0.0000, 0.0000, 0.0000)  8 Ge 3.09, 4 Au 3.18
Ge (0.0000, 0.5000, 0.5000)  4 Au 3.09, 4 Nd 3.09, 4 Ge 3.18
Ge (0.5000, 0.0000, 0.5000)  4 Au 3.09, 4 Nd 3.09, 4 Ge 3.18
Au (0.5000, 0.5000, 0.0000)  8 Ge 3.09, 4 Nd 3.18

Output
calculated total energy = -19.2 eV/cell
E_form = -0.4823 eV/atom
space group = P4/mmm (123)
total moment = 0.00 Bohr magnetons per cell

=====

[3]
First-principles (GGA-PBE) data for a relaxed structure of Nd3Ge4Au, as listed in Alexandria.

Lattice parameters (Å, degrees): 8.4864 8.4864 8.4864 149.61 138.44 52.34
Last column: nearest neighbours and their distance in Å.
Positions (direct):
Nd (0.0000, 0.0000, 0.0000)  8 Ge 3.17
Nd (0.3088, 0.8088, 0.5000)  6 Ge 3.01-3.08
Nd (0.6912, 0.1912, 0.5000)  6 Ge 3.01-3.08
Ge (0.0847, 0.3762, 0.7084)  1 Ge 2.51, 1 Au 2.58
Ge (0.3322, 0.6238, 0.7084)  1 Ge 2.51, 1 Au 2.58
Ge (0.6678, 0.3762, 0.2916)  1 Ge 2.51, 1 Au 2.58
Ge (0.9153, 0.6238, 0.2916)  1 Ge 2.51, 1 Au 2.58
Au (0.5000, 0.5000, 0.0000)  4 Ge 2.58

Output
calculated total energy = -41.3 eV/cell
E_form = -0.6525 eV/atom
space group = Immm (71)
total moment = 0.00 Bohr magnetons per cell

=====

[4]
First-principles (GGA-PBE) data for a relaxed structure of NdGe2Au4, as listed in Alexandria.

Lattice parameters (Å, degrees): 7.3335 7.3335 4.5058 90.00 90.00 144.12
Last column: nearest neighbours and their distance in Å.
Positions (direct):
Nd (0.0000, 0.0000, 0.0000)  8 Au 3.33-3.38, 8 Ge 3.42
Ge (0.4111, 0.5889, 0.5000)  1 Ge 2.48, 4 Au 2.57-2.59
Ge (0.5889, 0.4111, 0.5000)  1 Ge 2.48, 4 Au 2.57-2.59
Au (0.1762, 0.8238, 0.5000)  2 Ge 2.57
Au (0.3199, 0.6801, 0.0000)  2 Ge 2.59
Au (0.6801, 0.3199, 0.0000)  2 Ge 2.59
Au (0.8238, 0.1762, 0.5000)  2 Ge 2.57

Output
calculated total energy = -29.9 eV/cell
E_form = -0.3941 eV/atom
relative energy among the computed polymorphs = 0.0000 eV per atom
space group = Cmmm (65)
total moment = 0.00 Bohr magnetons per cell

=====

[5]
First-principles (GGA-PBE) data for a relaxed structure of NdGePbAu, as listed in Alexandria.

Lattice parameters (Å, degrees): 5.2119 5.2119 5.2119 60.00 60.00 60.00
Last column: nearest neighbours and their distance in Å.
Positions (direct):
Nd (0.0000, 0.0000, 0.0000)  4 Ge 3.19, 4 Au 3.19
Ge (0.7500, 0.7500, 0.7500)  4 Nd 3.19, 4 Pb 3.19
Pb (0.5000, 0.5000, 0.5000)  4 Ge 3.19, 4 Au 3.19
Au (0.2500, 0.2500, 0.2500)  4 Pb 3.19, 4 Nd 3.19

Output
calculated total energy = -17.9 eV/cell
E_form = -0.3705 eV/atom
space group = F-43m (216)
total moment = 0.00 Bohr magnetons per cell

=====

[6]
First-principles (GGA-PBE) data for a relaxed structure of Nd3Ge6Pd2Au, as listed in Alexandria.

Lattice parameters (Å, degrees): 5.9700 5.9700 8.4810 90.00 90.00 120.00
Last column: nearest neighbours and their distance in Å.
Positions (direct):
Nd (0.0000, 0.0000, 0.0000)  6 Ge 3.00
Nd (0.3333, 0.6667, 0.6083)  9 Ge 3.16-3.24, 1 Pd 3.44
Nd (0.6667, 0.3333, 0.3917)  9 Ge 3.16-3.24, 1 Pd 3.44
Ge (0.1873, 0.3746, 0.2703)  2 Ge 2.62, 1 Pd 2.65, 1 Au 2.75
Ge (0.1873, 0.8127, 0.2703)  2 Ge 2.62, 1 Pd 2.65, 1 Au 2.75
Ge (0.3746, 0.1873, 0.7297)  2 Ge 2.62, 1 Pd 2.65, 1 Au 2.75
Ge (0.6254, 0.8127, 0.2703)  2 Ge 2.62, 1 Pd 2.65, 1 Au 2.75
Ge (0.8127, 0.1873, 0.7297)  2 Ge 2.62, 1 Pd 2.65, 1 Au 2.75
Ge (0.8127, 0.6254, 0.7297)  2 Ge 2.62, 1 Pd 2.65, 1 Au 2.75
Pd (0.3333, 0.6667, 0.0136)  3 Ge 2.65
Pd (0.6667, 0.3333, 0.9864)  3 Ge 2.65
Au (0.0000, 0.0000, 0.5000)  6 Ge 2.75

Output
calculated total energy = -60.7 eV/cell
E_form = -0.4193 eV/atom
space group = P-3m1 (164)
total moment = 0.00 Bohr magnetons per cell